The following is a PBE calculation of an optimized crystal structure of NaAc3P, from Alexandria.

The structure in POSCAR format:
```
NaAc3P
1.0
5.9758 0.0000 0.0000
0.0000 5.9758 0.0000
0.0000 0.0000 5.9758
P Ac Na
1 3 1
direct
0.0000 0.0000 0.0000
0.0000 0.5000 0.0000
0.0000 0.0000 0.5000
0.5000 0.0000 0.0000
0.5000 0.5000 0.5000
```

Symmetry: Pm-3m, No. 221
ρ, g/cm³: 5.72
ΔE_f, eV per atom: -0.346
Size of the total moment, μB per formula unit: 0.001